! Cs3PuCu2O6 PBE optimized geometry; values from VASP
&SYSTEM
  ibrav = 0, nat = 12, ntyp = 4
/
ATOMIC_SPECIES
Cs 132.91 Cs.upf
Pu 244.00 Pu.upf
Cu 63.55 Cu.upf
O 16.00 O.upf
CELL_PARAMETERS angstrom
6.1832 0.0000 0.0000
-3.0916 5.3548 0.0000
0.0000 0.0000 7.6408
ATOMIC_POSITIONS crystal
Cs 0.0000 0.0000 0.0000
Cs 0.3333 0.6667 0.7418
Cs 0.6667 0.3333 0.2582
Pu 0.0000 0.0000 0.5000
Cu 0.3333 0.6667 0.3262
Cu 0.6667 0.3333 0.6738
O 0.1561 0.3121 0.3372
O 0.1561 0.8439 0.3372
O 0.3121 0.1561 0.6628
O 0.6879 0.8439 0.3372
O 0.8439 0.1561 0.6628
O 0.8439 0.6879 0.6628
! **ΔE_f (raw)**: -1.61 eV/atom


! CsPuCu2O6 PBE optimized geometry; values from VASP
&SYSTEM
  ibrav = 0, nat = 20, ntyp = 4
/
ATOMIC_SPECIES
Cs 132.91 Cs.upf
Pu 244.00 Pu.upf
Cu 63.55 Cu.upf
O 16.00 O.upf
CELL_PARAMETERS angstrom
4.6301 -5.3887 0.0000
4.6301 5.3887 0.0000
-1.1896 0.0000 6.6132
ATOMIC_POSITIONS crystal
Cs 0.0914 0.9086 0.7500
Cs 0.9086 0.0914 0.2500
Pu 0.3098 0.6902 0.2500
Pu 0.6902 0.3098 0.7500
Cu 0.2457 0.4015 0.8748
Cu 0.4015 0.2457 0.3748
Cu 0.5985 0.7543 0.6252
Cu 0.7543 0.5985 0.1252
O 0.0222 0.6779 0.2232
O 0.2774 0.3831 0.1824
O 0.3209 0.6780 0.9614
O 0.3220 0.6791 0.5386
O 0.3221 0.9778 0.2768
O 0.3831 0.2774 0.6824
O 0.6169 0.7226 0.3176
O 0.6779 0.0222 0.7232
O 0.6780 0.3209 0.4614
O 0.6791 0.3220 0.0386
O 0.7226 0.6169 0.8176
O 0.9778 0.3221 0.7768
! **ΔE_f (raw)**: -1.43 eV/atom


! CsPuCuO6 PBE optimized geometry; values from VASP
&SYSTEM
  ibrav = 0, nat = 9, ntyp = 4
/
ATOMIC_SPECIES
Cs 132.91 Cs.upf
Pu 244.00 Pu.upf
Cu 63.55 Cu.upf
O 16.00 O.upf
CELL_PARAMETERS angstrom
2.8965 -4.4291 0.0000
2.8965 4.4291 0.0000
-0.4720 0.0000 6.6829
ATOMIC_POSITIONS crystal
Cs 0.0000 0.0000 0.0000
Pu 0.3741 0.6259 0.5000
Cu 0.7087 0.2913 0.5000
O 0.0353 0.3432 0.6380
O 0.1118 0.6036 0.2965
O 0.3964 0.8882 0.7035
O 0.4385 0.3381 0.3314
O 0.6568 0.9647 0.3620
O 0.6619 0.5615 0.6686
! **ΔE_f (raw)**: -1.51 eV/atom


! Cs2RbCuO2 PBE optimized geometry; values from VASP
&SYSTEM
  ibrav = 0, nat = 12, ntyp = 4
/
ATOMIC_SPECIES
Cs 132.91 Cs.upf
Rb 85.47 Rb.upf
Cu 63.55 Cu.upf
O 16.00 O.upf
CELL_PARAMETERS angstrom
6.2559 0.0000 0.0000
0.0000 11.6088 0.0000
0.0000 0.0000 4.5909
ATOMIC_POSITIONS crystal
Cs 0.0822 0.2341 0.0000
Cs 0.4178 0.7341 0.5000
Cs 0.5822 0.2659 0.5000
Cs 0.9178 0.7659 0.0000
Rb 0.0000 0.5000 0.5000
Rb 0.5000 0.0000 0.0000
Cu 0.0000 0.0000 0.5000
Cu 0.5000 0.5000 0.0000
O 0.2218 0.1017 0.5000
O 0.2782 0.6017 0.0000
O 0.7218 0.3983 0.0000
O 0.7782 0.8983 0.5000
! **ΔE_f (raw)**: -0.97 eV/atom


! CsRbCuO2 PBE optimized geometry; values from VASP
&SYSTEM
  ibrav = 0, nat = 10, ntyp = 4
/
ATOMIC_SPECIES
Cs 132.91 Cs.upf
Rb 85.47 Rb.upf
Cu 63.55 Cu.upf
O 16.00 O.upf
CELL_PARAMETERS angstrom
4.6320 -6.8754 0.0000
4.6320 6.8754 0.0000
0.0000 0.0000 4.6421
ATOMIC_POSITIONS crystal
Cs 0.2500 0.7500 0.7729
Cs 0.7500 0.2500 0.2271
Rb 0.2500 0.2500 0.0000
Rb 0.7500 0.7500 0.0000
Cu 0.0000 0.0000 0.5000
Cu 0.5000 0.5000 0.5000
O 0.1019 0.8981 0.2762
O 0.3981 0.6019 0.2762
O 0.6019 0.3981 0.7238
O 0.8981 0.1019 0.7238
! **ΔE_f (raw)**: -0.91 eV/atom


! Cs2Rb2CuO2 PBE optimized geometry; values from VASP
&SYSTEM
  ibrav = 0, nat = 7, ntyp = 4
/
ATOMIC_SPECIES
Cs 132.91 Cs.upf
Rb 85.47 Rb.upf
Cu 63.55 Cu.upf
O 16.00 O.upf
CELL_PARAMETERS angstrom
7.0051 -2.1770 0.0000
7.0051 2.1770 0.0000
-6.6012 0.0000 9.3501
ATOMIC_POSITIONS crystal
Cs 0.0376 0.0376 0.2764
Cs 0.9624 0.9624 0.7236
Rb 0.2338 0.2338 0.1189
Rb 0.7662 0.7662 0.8811
Cu 0.5000 0.5000 0.0000
O 0.4079 0.4079 0.0655
O 0.5921 0.5921 0.9345
! **ΔE_f (raw)**: -0.89 eV/atom


! CsCuRu2O8 PBE optimized geometry; values from VASP
&SYSTEM
  ibrav = 0, nat = 12, ntyp = 4
/
ATOMIC_SPECIES
Cs 132.91 Cs.upf
Cu 63.55 Cu.upf
Ru 101.07 Ru.upf
O 16.00 O.upf
CELL_PARAMETERS angstrom
2.6230 1.5144 9.1281
-2.6230 1.5144 9.1281
0.0000 -3.0288 9.1281
ATOMIC_POSITIONS crystal
Cs 0.0000 0.0000 0.0000
Cu 0.5000 0.5000 0.5000
Ru 0.2317 0.2317 0.2317
Ru 0.7683 0.7683 0.7683
O 0.1238 0.4871 0.7579
O 0.2421 0.8762 0.5129
O 0.2961 0.2961 0.2961
O 0.4871 0.7579 0.1238
O 0.5129 0.2421 0.8762
O 0.7039 0.7039 0.7039
O 0.7579 0.1238 0.4871
O 0.8762 0.5129 0.2421
! **ΔE_f (raw)**: -0.89 eV/atom


! CsCu2RuO PBE optimized geometry; values from VASP
&SYSTEM
  ibrav = 0, nat = 5, ntyp = 4
/
ATOMIC_SPECIES
Cs 132.91 Cs.upf
Cu 63.55 Cu.upf
Ru 101.07 Ru.upf
O 16.00 O.upf
CELL_PARAMETERS angstrom
5.1216 0.0000 0.0000
0.0000 5.1216 0.0000
0.0000 0.0000 3.7951
ATOMIC_POSITIONS crystal
Cs 0.0000 0.0000 0.0000
Cu 0.0000 0.5000 0.5000
Cu 0.5000 0.0000 0.5000
Ru 0.5000 0.5000 0.5000
O 0.5000 0.5000 0.0000
! **ΔE_f (raw)**: 0.22 eV/atom